(1)
Computed, not measured: a relaxed Ac3TbPm3S8 crystal at the GGA-PBE level of DFT.

Final energy   -94.94 eV per cell
Formation energy (no corrections)   -2047 meV/atom

The structure in POSCAR format:
```
Ac3TbPm3S8
1.0
4.1010 2.3677 6.9196
-4.1010 2.3677 6.9196
0.0000 -4.7354 6.9196
Ac Tb Pm S
3 1 3 8
Direct
0.0000 0.5000 0.5000 Ac
0.5000 0.0000 0.5000 Ac
0.5000 0.5000 0.0000 Ac
0.5000 0.5000 0.5000 Tb
0.0000 0.0000 0.5000 Pm
0.0000 0.5000 0.0000 Pm
0.5000 0.0000 0.0000 Pm
0.2440 0.2440 0.2440 S
0.2491 0.7395 0.7395 S
0.2605 0.2605 0.7509 S
0.2605 0.7509 0.2605 S
0.7395 0.2491 0.7395 S
0.7395 0.7395 0.2491 S
0.7509 0.2605 0.2605 S
0.7560 0.7560 0.7560 S
```


(2)
Computed, not measured: a relaxed AcTbPm4S8 crystal at the GGA-PBE level of DFT.

Final energy   -87.74 eV per cell
Formation energy (no corrections)   -1927 meV/atom

The structure in POSCAR format:
```
AcTbPm4S8
1.0
4.1751 2.4105 6.7739
-4.1751 2.4105 6.7739
0.0000 -4.8210 6.7739
Ac Tb Pm S
1 1 4 8
Direct
0.0000 0.0000 0.0000 Ac
0.6229 0.6229 0.6229 Tb
0.1301 0.6224 0.6224 Pm
0.2483 0.2483 0.2483 Pm
0.6224 0.1301 0.6224 Pm
0.6224 0.6224 0.1301 Pm
0.3802 0.3802 0.3802 S
0.3860 0.3860 0.8516 S
0.3860 0.8516 0.3860 S
0.4153 0.8577 0.8577 S
0.8516 0.3860 0.3860 S
0.8577 0.4153 0.8577 S
0.8577 0.8577 0.4153 S
0.8617 0.8617 0.8617 S
```


(3)
Computed, not measured: a relaxed AcTbPm2S6 crystal at the GGA-PBE level of DFT.

Final energy   -63.54 eV per cell
Formation energy (no corrections)   -2054 meV/atom

The structure in POSCAR format:
```
AcTbPm2S6
1.0
3.6019 2.0796 6.3147
-3.6019 2.0796 6.3147
0.0000 -4.1591 6.3147
Ac Tb Pm S
1 1 2 6
Direct
0.0000 0.0000 0.0000 Ac
0.4892 0.4892 0.4892 Tb
0.2835 0.2835 0.2835 Pm
0.7900 0.7900 0.7900 Pm
0.0904 0.6598 0.4169 S
0.1958 0.5861 0.8818 S
0.4169 0.0904 0.6598 S
0.5861 0.8818 0.1958 S
0.6598 0.4169 0.0904 S
0.8818 0.1958 0.5861 S
```


(4)
Computed, not measured: a relaxed AcPmTeS crystal at the GGA-PBE level of DFT.

Final energy   -21.65 eV per cell
Formation energy (no corrections)   -1381 meV/atom

The structure in POSCAR format:
```
AcPmTeS
1.0
5.2659 0.0000 0.0000
-2.6330 4.5604 0.0000
0.0000 0.0000 5.5217
Ac Pm Te S
1 1 1 1
Direct
0.0000 0.0000 0.0000 Ac
0.3333 0.6667 0.5000 Pm
0.6667 0.3333 0.5000 Te
0.3333 0.6667 0.0000 S
```


(5)
Computed, not measured: a relaxed AcPmTe2S crystal at the GGA-PBE level of DFT.

Final energy   -54.55 eV per cell
Formation energy (no corrections)   -1601 meV/atom

The structure in POSCAR format:
```
AcPmTe2S
1.0
4.6218 0.0000 0.0000
0.0000 4.6218 0.0000
0.0000 0.0000 16.0976
Ac Pm Te S
2 2 4 2
Direct
0.2500 0.2500 0.1083 Ac
0.7500 0.7500 0.8917 Ac
0.2500 0.2500 0.6095 Pm
0.7500 0.7500 0.3905 Pm
0.2500 0.2500 0.4050 Te
0.2500 0.2500 0.7937 Te
0.7500 0.7500 0.2063 Te
0.7500 0.7500 0.5950 Te
0.2500 0.7500 0.0000 S
0.7500 0.2500 0.0000 S
```


(6)
Computed, not measured: a relaxed AcPmTeS2 crystal at the GGA-PBE level of DFT.

Final energy   -57.75 eV per cell
Formation energy (no corrections)   -1724 meV/atom

The structure in POSCAR format:
```
AcPmTeS2
1.0
4.6608 0.0000 0.0000
0.0000 4.6608 0.0000
0.0000 0.0000 14.4846
Ac Pm Te S
2 2 2 4
Direct
0.0000 0.0000 0.0000 Ac
0.5000 0.5000 0.5000 Ac
0.0000 0.0000 0.7145 Pm
0.5000 0.5000 0.2145 Pm
0.0000 0.0000 0.3645 Te
0.5000 0.5000 0.8645 Te
0.0000 0.5000 0.1179 S
0.0000 0.5000 0.6179 S
0.5000 0.0000 0.1179 S
0.5000 0.0000 0.6179 S
```


(7)
Computed, not measured: a relaxed Ac2PmTe2S2 crystal at the GGA-PBE level of DFT.

Final energy   -77.87 eV per cell
Formation energy (no corrections)   -1633 meV/atom

The structure in POSCAR format:
```
Ac2PmTe2S2
1.0
5.2285 0.0000 0.0000
0.0000 5.2285 0.0000
0.0000 0.0000 16.8056
Ac Pm Te S
4 2 4 4
Direct
0.0000 0.0000 0.1201 Ac
0.0000 0.0000 0.8799 Ac
0.5000 0.5000 0.3799 Ac
0.5000 0.5000 0.6201 Ac
0.0000 0.0000 0.5000 Pm
0.5000 0.5000 0.0000 Pm
0.0000 0.0000 0.3161 Te
0.0000 0.0000 0.6839 Te
0.5000 0.5000 0.1839 Te
0.5000 0.5000 0.8161 Te
0.0000 0.5000 0.0000 S
0.0000 0.5000 0.5000 S
0.5000 0.0000 0.0000 S
0.5000 0.0000 0.5000 S
```


(8)
Computed, not measured: a relaxed Ac2PmThS4 crystal at the GGA-PBE level of DFT.

Final energy   -52.52 eV per cell
Formation energy (no corrections)   -1953 meV/atom

The structure in POSCAR format:
```
Ac2PmThS4
1.0
7.1995 0.0000 0.0000
0.0000 4.1452 0.0000
-2.3883 0.0000 6.8573
Ac Pm Th S
2 1 1 4
Direct
0.0000 0.0000 0.0000 Ac
0.5000 0.5000 0.0000 Ac
0.0000 0.5000 0.5000 Pm
0.5000 0.0000 0.5000 Th
0.2436 0.0000 0.7311 S
0.2552 0.5000 0.2683 S
0.7448 0.5000 0.7317 S
0.7564 0.0000 0.2689 S
```